(1)
Entry from the Alexandria database: CdAs2Au after structural relaxation (GGA-PBE).

Results
Crystal system: tetragonal
Space-group type: P4/mmm
Energy of formation from the pure elements: 0.08 eV per atom

Unit cell a=3.9522 b=3.9522 c=5.5182 alpha=90.00 beta=90.00 gamma=90.00
Last column: nearest neighbours and their distance in Å.
Element x y z (fractional)
Cd: 0.0000 0.0000 0.0000  2 As 2.76, 4 Au 2.79
As: 0.0000 0.0000 0.5000  2 Cd 2.76, 4 As 2.79
As: 0.5000 0.5000 0.5000  2 Au 2.76, 4 As 2.79
Au: 0.5000 0.5000 0.0000  2 As 2.76, 4 Cd 2.79


(2)
Entry from the Alexandria database: Cd4AsAu after structural relaxation (GGA-PBE).

Results
Crystal system: cubic
ΔE to the lowest computed polymorph: 369.3 meV/atom
Space-group type: F-43m
Energy of formation from the pure elements: 0.25 eV per atom

Unit cell a=5.7176 b=5.7176 c=5.7176 alpha=60.00 beta=60.00 gamma=60.00
Last column: nearest neighbours and their distance in Å.
Element x y z (fractional)
Cd: 0.1251 0.1251 0.1251  6 Cd 2.86
Cd: 0.1251 0.1251 0.6248  6 Cd 2.86
Cd: 0.1251 0.6248 0.1251  6 Cd 2.86
Cd: 0.6248 0.1251 0.1251  6 Cd 2.86
As: 0.7500 0.7500 0.7500  12 Cd 3.35, 4 Au 3.50
Au: 0.5000 0.5000 0.5000  12 Cd 3.35, 4 As 3.50


(3)
Entry from the Alexandria database: Cd2As2Au after structural relaxation (GGA-PBE).

Results
Crystal system: tetragonal
ΔE to the lowest computed polymorph: 5.2 meV/atom
Space-group type: P4/mbm
Energy of formation from the pure elements: 0.12 eV per atom

Unit cell a=7.3445 b=7.3445 c=4.1573 alpha=90.00 beta=90.00 gamma=90.00
Last column: nearest neighbours and their distance in Å.
Element x y z (fractional)
Cd: 0.1411 0.3589 0.0000  2 As 2.79, 1 Cd 2.93
Cd: 0.3589 0.8589 0.0000  2 As 2.79, 1 Cd 2.93
Cd: 0.6411 0.1411 0.0000  2 As 2.79, 1 Cd 2.93
Cd: 0.8589 0.6411 0.0000  2 As 2.79, 1 Cd 2.93
As: 0.1795 0.6795 0.5000  2 Au 2.70, 2 Cd 2.79
As: 0.3205 0.1795 0.5000  2 Au 2.70, 2 Cd 2.79
As: 0.6795 0.8205 0.5000  2 Au 2.70, 2 Cd 2.79
As: 0.8205 0.3205 0.5000  2 Au 2.70, 2 Cd 2.79
Au: 0.0000 0.0000 0.5000  4 As 2.70
Au: 0.5000 0.5000 0.5000  4 As 2.70


(4)
Entry from the Alexandria database: Cd2CuAsAu after structural relaxation (GGA-PBE).

Results
Crystal system: tetragonal
Space-group type: P4/mmm
Energy of formation from the pure elements: 0.48 eV per atom

Unit cell a=4.9029 b=4.9029 c=4.8035 alpha=90.00 beta=90.00 gamma=90.00
Last column: nearest neighbours and their distance in Å.
Element x y z (fractional)
Cd: 0.0000 0.5000 0.0000  2 Cu 2.45
Cd: 0.5000 0.0000 0.0000  2 Cu 2.45
Cu: 0.0000 0.0000 0.0000  2 Au 2.40, 4 Cd 2.45
As: 0.5000 0.5000 0.5000  8 Cd 3.43, 4 Au 3.47
Au: 0.0000 0.0000 0.5000  2 Cu 2.40


(5)
Entry from the Alexandria database: EuCdAsAu after structural relaxation (GGA-PBE).

Results
Crystal system: cubic
Space-group type: F-43m
Energy of formation from the pure elements: -0.55 eV per atom

Unit cell a=5.0606 b=5.0606 c=5.0606 alpha=60.00 beta=60.00 gamma=60.00
Last column: nearest neighbours and their distance in Å.
Element x y z (fractional)
Eu: 0.0000 0.0000 0.0000  4 As 3.10, 4 Au 3.10
Cd: 0.5000 0.5000 0.5000  4 As 3.10, 4 Au 3.10
As: 0.7500 0.7500 0.7500  4 Cd 3.10, 4 Eu 3.10
Au: 0.2500 0.2500 0.2500  4 Cd 3.10, 4 Eu 3.10


(6)
Entry from the Alexandria database: CdAsHAu2 after structural relaxation (GGA-PBE).

Results
Crystal system: tetragonal
Space-group type: P4/mmm

Unit cell a=5.1515 b=5.1515 c=3.3552 alpha=90.00 beta=90.00 gamma=90.00
Last column: nearest neighbours and their distance in Å.
Element x y z (fractional)
Cd: 0.0000 0.0000 0.0000  8 Au 3.07, 2 Cd 3.36
As: 0.5000 0.5000 0.5000  2 H 1.68
H: 0.5000 0.5000 0.0000  2 As 1.68
Au: 0.0000 0.5000 0.5000  2 As 2.58
Au: 0.5000 0.0000 0.5000  2 As 2.58


(7)
Entry from the Alexandria database: LiCdAsAu after structural relaxation (GGA-PBE).

Results
Crystal system: cubic
Space-group type: F-43m
Energy of formation from the pure elements: -0.20 eV per atom

Unit cell a=4.7375 b=4.7375 c=4.7375 alpha=60.00 beta=60.00 gamma=60.00
Last column: nearest neighbours and their distance in Å.
Element x y z (fractional)
Li: 0.0000 0.0000 0.0000  4 As 2.90, 4 Au 2.90
Cd: 0.5000 0.5000 0.5000  4 As 2.90, 4 Au 2.90
As: 0.7500 0.7500 0.7500  4 Cd 2.90, 4 Li 2.90
Au: 0.2500 0.2500 0.2500  4 Cd 2.90, 4 Li 2.90


(8)
Entry from the Alexandria database: MgCdAsAu2 after structural relaxation (GGA-PBE).

Results
Crystal system: tetragonal
Space-group type: P4/mmm
Energy of formation from the pure elements: 0.42 eV per atom

Unit cell a=4.9864 b=4.9864 c=4.9334 alpha=90.00 beta=90.00 gamma=90.00
Last column: nearest neighbours and their distance in Å.
Element x y z (fractional)
Mg: 0.0000 0.0000 0.0000  2 As 2.47, 4 Au 2.49
Cd: 0.5000 0.5000 0.5000  8 Au 3.51, 4 As 3.53
As: 0.0000 0.0000 0.5000  2 Mg 2.47
Au: 0.0000 0.5000 0.0000  2 Mg 2.49
Au: 0.5000 0.0000 0.0000  2 Mg 2.49


(9)
Entry from the Alexandria database: CdAsAu2N after structural relaxation (GGA-PBE).

Results
Crystal system: tetragonal
Space-group type: P4/mmm
Energy relative to the elements, uncorrected: 0.72 eV/atom

Unit cell a=5.1672 b=5.1672 c=3.7257 alpha=90.00 beta=90.00 gamma=90.00
Last column: nearest neighbours and their distance in Å.
Element x y z (fractional)
Cd: 0.0000 0.0000 0.0000  8 Au 3.19
As: 0.5000 0.5000 0.5000  2 N 1.86
Au: 0.0000 0.5000 0.5000  2 As 2.58
Au: 0.5000 0.0000 0.5000  2 As 2.58
N: 0.5000 0.5000 0.0000  2 As 1.86


(10)
Entry from the Alexandria database: NbCdAsAu2 after structural relaxation (GGA-PBE).

Results
Crystal system: tetragonal
Space-group type: P4/mmm
Energy of formation from the pure elements: 1.18 eV per atom

Unit cell a=5.0710 b=5.0710 c=5.4012 alpha=90.00 beta=90.00 gamma=90.00
Last column: nearest neighbours and their distance in Å.
Element x y z (fractional)
Nb: 0.0000 0.0000 0.0000  4 Au 2.54, 2 Cd 2.70
Cd: 0.0000 0.0000 0.5000  2 Nb 2.70
As: 0.5000 0.5000 0.5000  4 Cd 3.59, 8 Au 3.70
Au: 0.0000 0.5000 0.0000  2 Nb 2.54
Au: 0.5000 0.0000 0.0000  2 Nb 2.54


(11)
Entry from the Alexandria database: CdAsOs2Au after structural relaxation (GGA-PBE).

Results
Crystal system: tetragonal
Space-group type: P4/mmm
Energy of formation from the pure elements: 1.20 eV per atom

Unit cell a=4.5834 b=4.5834 c=4.8380 alpha=90.00 beta=90.00 gamma=90.00
Last column: nearest neighbours and their distance in Å.
Element x y z (fractional)
Cd: 0.0000 0.0000 0.0000  4 Au 3.24, 8 Os 3.33
As: 0.5000 0.5000 0.5000  4 Os 2.29, 2 Au 2.42
Os: 0.0000 0.5000 0.5000  2 As 2.29
Os: 0.5000 0.0000 0.5000  2 As 2.29
Au: 0.5000 0.5000 0.0000  2 As 2.42


(12)
Entry from the Alexandria database: CdAsPbAu after structural relaxation (GGA-PBE).

Results
Crystal system: cubic
Space-group type: F-43m
Energy of formation from the pure elements: 0.08 eV per atom

Unit cell a=5.0913 b=5.0913 c=5.0913 alpha=60.00 beta=60.00 gamma=60.00
Last column: nearest neighbours and their distance in Å.
Element x y z (fractional)
Cd: 0.0000 0.0000 0.0000  4 As 3.12, 4 Au 3.12
As: 0.7500 0.7500 0.7500  4 Pb 3.12, 4 Cd 3.12
Pb: 0.5000 0.5000 0.5000  4 Au 3.12, 4 As 3.12
Au: 0.2500 0.2500 0.2500  4 Pb 3.12, 4 Cd 3.12


The following raw total energy values (in eV/atom) correspond, in order, to the records above: -3.29, -1.68, -2.76, -2.29, -5.33, -2.98, -2.89, -2.32, -3.37, -3.25, -5.06, -3.05.